# 1
The following is a DFT calculation (GGA-PBE) of CuSbPd4 after structural relaxation.

Cell: 9.0203 3.8727 5.7174 Å, 90.00 108.54 90.00°
Closest atoms and distances in Å follow each position.
Space group C2/m (No. 12)
One atom of each set of equivalent atoms:
Cu (0.0000, 0.0000, 0.0000) x2  10 Pd 2.75-2.84, 2 Sb 2.86
Sb (0.0000, 0.0000, 0.5000) x2  10 Pd 2.78-2.92, 2 Cu 2.86
Pd (0.1581, 0.5000, 0.3242) x4  2 Cu 2.75, 3 Sb 2.78-2.92, 7 Pd 2.78-2.90
Pd (0.1675, 0.5000, 0.8359) x4  7 Pd 2.78-2.90, 3 Cu 2.80-2.84, 2 Sb 2.81

## Properties
M_tot in μB/cell: 0.0
DOS at the Fermi energy in states/eV/atom: 0.390
Density in g cm⁻³: 10.72
Raw formation energy in kJ per mole of atoms: -26.1

# 2
The following is a DFT calculation (GGA-PBE) of Sc2TiInH after structural relaxation.

Cell: 4.4328 4.4328 4.2910 Å, 90.00 90.00 90.00°
Closest atoms and distances in Å follow each position.
Space group P4/mmm (No. 123)
One atom of each set of equivalent atoms:
Sc (0.0000, 0.5000, 0.0000) x2  2 H 2.22
Ti (0.0000, 0.0000, 0.5000) x1  2 H 2.15
In (0.5000, 0.5000, 0.5000) x1  8 Sc 3.08, 4 Ti 3.13
H (0.0000, 0.0000, 0.0000) x1  2 Ti 2.15, 4 Sc 2.22

## Properties
M_tot in μB/cell: 0.0
DOS at the Fermi energy in states/eV/atom: 1.343
Density in g cm⁻³: 4.99
Electronic total energy in eV per atom: -5.65

# 3
The following is a DFT calculation (GGA-PBE) of Er3ZnPd4 after structural relaxation.

Cell: 9.6129 6.7082 4.8079 Å, 90.00 90.00 90.00°
Closest atoms and distances in Å follow each position.
Space group Pmma (No. 51)
One atom of each set of equivalent atoms:
Er (0.0000, 0.0000, 0.0000) x2  8 Pd 2.96
Er (0.2500, 0.0000, 0.4988) x2  8 Pd 2.95-2.97
Er (0.2500, 0.5000, 0.4970) x2  8 Pd 2.90
Zn (0.0000, 0.5000, 0.0000) x2  8 Pd 2.90
Pd (0.0000, 0.2571, 0.5000) x4  6 Er 2.90-2.96, 2 Zn 2.90
Pd (0.2500, 0.2574, 0.9971) x4  2 Zn 2.90, 6 Er 2.90-2.97

## Properties
M_tot in μB/cell: 0.0
DOS at the Fermi energy in states/eV/atom: 0.362
Density in g cm⁻³: 10.64
Electronic total energy in eV per atom: -5.28

# 4
The following is a DFT calculation (GGA-PBE) of PaTl3Cd2S6 after structural relaxation.

Cell: 6.8143 11.8599 7.8990 Å, 90.00 106.38 90.00°
Closest atoms and distances in Å follow each position.
Space group C2/m (No. 12)
One atom of each set of equivalent atoms:
Pa (0.0000, 0.0000, 0.0000) x2  6 S 2.67
Tl (0.0000, 0.1692, 0.5000) x4  6 S 3.18-3.27
Tl (0.0000, 0.5000, 0.5000) x2  6 S 3.19-3.24
Cd (0.0000, 0.3339, 0.0000) x4  6 S 2.75-2.80
S (0.2286, 0.1602, 0.1998) x8  1 Pa 2.67, 2 Cd 2.75-2.79
S (0.2487, 0.5000, 0.2061) x4  1 Pa 2.67, 2 Cd 2.80

## Properties
M_tot in μB/cell: 0.0
DOS at the Fermi energy in states/eV/atom: 0.000
Density in g cm⁻³: 6.84
Raw formation energy in kJ per mole of atoms: -77.4

# 5
The following is a DFT calculation (GGA-PBE) of PrSmErGa after structural relaxation.

Cell: 7.6583 7.6583 7.6583 Å, 90.00 90.00 90.00°
Closest atoms and distances in Å follow each position.
Space group F-43m (No. 216)
One atom of each set of equivalent atoms:
Pr (0.0000, 0.0000, 0.0000) x4  4 Ga 3.32, 4 Er 3.32
Sm (0.0000, 0.0000, 0.5000) x4  4 Er 3.32, 4 Ga 3.32
Er (0.2500, 0.2500, 0.2500) x4  4 Pr 3.32, 4 Sm 3.32
Ga (0.2500, 0.2500, 0.7500) x4  4 Sm 3.32, 4 Pr 3.32

## Properties
M_tot in μB/cell: 0.2
DOS at the Fermi energy in states/eV/atom: 1.795
Density in g cm⁻³: 7.81
Electronic total energy in eV per atom: -4.37

# 6
The following is a DFT calculation (GGA-PBE) of Sc2MnW after structural relaxation.

Cell: 4.2783 4.2783 8.0497 Å, 90.00 90.00 90.00°
Closest atoms and distances in Å follow each position.
Space group I4/mmm (No. 139)
One atom of each set of equivalent atoms:
Sc (0.0000, 0.5000, 0.2500) x4  4 Mn 2.94, 4 W 2.94, 4 Sc 3.03
Mn (0.0000, 0.0000, 0.0000) x2  8 Sc 2.94, 4 W 3.03
W (0.0000, 0.0000, 0.5000) x2  8 Sc 2.94, 4 Mn 3.03

## Properties
M_tot in μB/cell: 7.1
DOS at the Fermi energy in states/eV/atom: 1.218
Density in g cm⁻³: 7.41
Electronic total energy in eV per atom: -8.35

# 7
The following is a DFT calculation (GGA-PBE) of BaMn4Te after structural relaxation.

Cell: 8.1116 8.1116 8.1116 Å, 90.00 90.00 90.00°
Closest atoms and distances in Å follow each position.
Space group F-43m (No. 216)
One atom of each set of equivalent atoms:
Ba (0.0000, 0.0000, 0.0000) x4  12 Mn 3.36, 4 Te 3.51
Mn (0.1261, 0.1261, 0.6261) x16  6 Mn 2.84-2.89
Te (0.2500, 0.2500, 0.2500) x4  12 Mn 3.37, 4 Ba 3.51

## Properties
M_tot in μB/cell: 64.1
DOS at the Fermi energy in states/eV/atom: 1.173
Density in g cm⁻³: 6.03
Raw formation energy in kJ per mole of atoms: 49.8

# 8
The following is a DFT calculation (GGA-PBE) of SmSeI after structural relaxation.

Cell: 7.3373 7.3373 7.3373 Å, 90.00 90.00 90.00°
Closest atoms and distances in Å follow each position.
Space group F-43m (No. 216)
One atom of each set of equivalent atoms:
Sm (0.0000, 0.0000, 0.0000) x4  4 Se 3.18, 4 I 3.18
Se (0.2500, 0.2500, 0.2500) x4  4 Sm 3.18
I (0.2500, 0.2500, 0.7500) x4  4 Sm 3.18

## Properties
M_tot in μB/cell: 0.0
Density in g cm⁻³: 5.99
Raw formation energy in kJ per mole of atoms: -133.6